{"formula": "Pm6P2PtS3", "functional": "PBE", "state": "optimized geometry", "cell": [[4.0782, 0.0000, 0.0000], [0.0000, 8.2392, 0.3020], [-2.0391, -2.3697, 8.6341]], "species": ["Pm", "Pm", "Pm", "Pm", "Pm", "Pm", "P", "P", "Pt", "S", "S", "S"], "frac_coords": [[0.3312, 0.9102, 0.6625], [0.6688, 0.5798, 0.3376], [0.6688, 0.0898, 0.3375], [0.0015, 0.2519, 0.0031], [0.9985, 0.7481, 0.9969], [0.3312, 0.4202, 0.6624], [0.8333, 0.6657, 0.6665], [0.1667, 0.3343, 0.3335], [0.5000, 0.0000, 0.0000], [0.5000, 0.5000, 0.0000], [0.8323, 0.1667, 0.6646], [0.1677, 0.8333, 0.3354]], "spacegroup": "No. 12", "vol_a3_per_cell": 293, "e_tot_ry_per_atom": -0.481, "formation_energy_uncorrected_kcal_per_mol_atoms": -39.99}


{"formula": "Pm4PPtS2", "functional": "PBE", "state": "optimized geometry", "cell": [[-1.8597, 2.9294, -2.1273], [-0.0757, -4.2305, -5.7595], [-6.0387, -3.8299, 0.0050]], "species": ["Pm", "Pm", "Pm", "Pm", "P", "Pt", "S", "S"], "frac_coords": [[0.0000, 0.7487, 0.7476], [0.0000, 0.2513, 0.2524], [0.5000, 0.7481, 0.2559], [0.5000, 0.2519, 0.7441], [0.0000, 0.5000, 0.5000], [0.5000, 0.5000, 0.0000], [0.0000, 0.0000, 0.0000], [0.5000, 0.0000, 0.5000]], "spacegroup": "No. 10", "vol_a3_per_cell": 197, "e_tot_ry_per_atom": -0.477, "formation_energy_uncorrected_kcal_per_mol_atoms": -38.14}


{"formula": "Pm2SbPPt6", "functional": "PBE", "state": "optimized geometry", "cell": [[-1.0748, -5.5103, 0.0331], [5.9751, -1.1283, 6.1755], [-5.9417, 1.1948, 5.9672]], "species": ["Pm", "Pm", "Pm", "Pm", "Sb", "Sb", "P", "P", "Pt", "Pt", "Pt", "Pt", "Pt", "Pt", "Pt", "Pt", "Pt", "Pt", "Pt", "Pt"], "frac_coords": [[0.5000, 0.7442, 0.2479], [0.0000, 0.2558, 0.7479], [0.5000, 0.7442, 0.7521], [0.0000, 0.2558, 0.2521], [0.0000, 0.7086, 0.5000], [0.5000, 0.2914, 0.0000], [0.5000, 0.2407, 0.5000], [0.0000, 0.7593, 0.0000], [0.5000, 0.1180, 0.2531], [0.5000, 0.1180, 0.7469], [0.0000, 0.8820, 0.2469], [0.0000, 0.8820, 0.7531], [0.2477, 0.9993, 0.5000], [0.7523, 0.9993, 0.5000], [0.2553, 0.4568, 0.5000], [0.7447, 0.4568, 0.5000], [0.7553, 0.5432, 0.0000], [0.2447, 0.5432, 0.0000], [0.2523, 0.0007, 0.0000], [0.7477, 0.0007, 0.0000]], "spacegroup": "No. 59", "vol_a3_per_cell": 414, "e_tot_ry_per_atom": -0.470, "formation_energy_uncorrected_kcal_per_mol_atoms": -20.03}


{"formula": "Pm4PPtSe2", "functional": "PBE", "state": "optimized geometry", "cell": [[4.1344, 0.0000, 0.0000], [0.0000, 7.3192, -0.1823], [0.0000, 2.5409, 6.8396]], "species": ["Pm", "Pm", "Pm", "Pm", "P", "Pt", "Se", "Se"], "frac_coords": [[0.0000, 0.7341, 0.7538], [0.0000, 0.2659, 0.2462], [0.5000, 0.7358, 0.2603], [0.5000, 0.2642, 0.7397], [0.0000, 0.5000, 0.5000], [0.5000, 0.5000, 0.0000], [0.0000, 0.0000, 0.0000], [0.5000, 0.0000, 0.5000]], "spacegroup": "No. 10", "vol_a3_per_cell": 209, "e_tot_ry_per_atom": -0.460, "formation_energy_uncorrected_kcal_per_mol_atoms": -36.58}


{"formula": "Pm8P3PtSe4", "functional": "PBE", "state": "optimized geometry", "cell": [[-3.1989, -4.7655, 6.0443], [-0.7903, -6.3522, -5.4266], [7.4215, 3.6448, 1.0542]], "species": ["Pm", "Pm", "Pm", "Pm", "Pm", "Pm", "Pm", "Pm", "P", "P", "P", "Pt", "Se", "Se", "Se", "Se"], "frac_coords": [[0.2466, 0.7348, 0.9882], [0.2466, 0.7348, 0.4933], [0.2565, 0.2694, 0.5130], [0.7416, 0.7348, 0.9882], [0.2584, 0.2652, 0.0118], [0.7435, 0.7306, 0.4870], [0.7534, 0.2652, 0.5067], [0.7534, 0.2652, 0.0118], [0.5000, 0.5000, 0.0000], [0.5000, 0.5000, 0.5000], [0.0000, 0.5000, 0.5000], [0.0000, 0.5000, 0.0000], [0.5000, 0.0000, 0.0000], [0.5000, 0.0000, 0.5000], [0.0000, 0.0000, 0.0000], [0.0000, 0.0000, 0.5000]], "spacegroup": "No. 166", "vol_a3_per_cell": 414, "e_tot_ry_per_atom": -0.465, "formation_energy_uncorrected_kcal_per_mol_atoms": -38.84}


{"formula": "Pm6PPt2Se3", "functional": "PBE", "state": "optimized geometry", "cell": [[4.1229, 0.0000, 0.0000], [0.0000, 8.5554, 0.1545], [-2.0614, -2.6207, 8.9193]], "species": ["Pm", "Pm", "Pm", "Pm", "Pm", "Pm", "P", "Pt", "Pt", "Se", "Se", "Se"], "frac_coords": [[0.3368, 0.9007, 0.6737], [0.6687, 0.5791, 0.3373], [0.6632, 0.0993, 0.3263], [0.0031, 0.2394, 0.0062], [0.9969, 0.7606, 0.9938], [0.3313, 0.4209, 0.6627], [0.5000, 0.0000, 0.0000], [0.8322, 0.6602, 0.6644], [0.1678, 0.3398, 0.3356], [0.5000, 0.5000, 0.0000], [0.8364, 0.1591, 0.6728], [0.1636, 0.8409, 0.3272]], "spacegroup": "No. 12", "vol_a3_per_cell": 316, "e_tot_ry_per_atom": -0.459, "formation_energy_uncorrected_kcal_per_mol_atoms": -35.53}


{"formula": "Pm2SiPPt6", "functional": "PBE", "state": "optimized geometry", "cell": [[5.5687, 0.0000, 0.0000], [0.0000, 8.2779, 0.0000], [0.0000, 0.0000, 8.4007]], "species": ["Pm", "Pm", "Pm", "Pm", "Si", "Si", "P", "P", "Pt", "Pt", "Pt", "Pt", "Pt", "Pt", "Pt", "Pt", "Pt", "Pt", "Pt", "Pt"], "frac_coords": [[0.5000, 0.7310, 0.2530], [0.0000, 0.2690, 0.7530], [0.5000, 0.7310, 0.7470], [0.0000, 0.2690, 0.2470], [0.0000, 0.7340, 0.5000], [0.5000, 0.2660, 0.0000], [0.5000, 0.2662, 0.5000], [0.0000, 0.7338, 0.0000], [0.5000, 0.1271, 0.2567], [0.5000, 0.1271, 0.7433], [0.0000, 0.8729, 0.2433], [0.0000, 0.8729, 0.7567], [0.2507, 0.9855, 0.5000], [0.7493, 0.9855, 0.5000], [0.2492, 0.4966, 0.5000], [0.7508, 0.4966, 0.5000], [0.7492, 0.5034, 0.0000], [0.2508, 0.5034, 0.0000], [0.2493, 0.0145, 0.0000], [0.7507, 0.0145, 0.0000]], "spacegroup": "No. 59", "vol_a3_per_cell": 387, "e_tot_ry_per_atom": -0.488, "formation_energy_uncorrected_kcal_per_mol_atoms": -22.59}


{"formula": "Pm3Si2PPt9", "functional": "PBE", "state": "optimized geometry", "cell": [[6.5627, 0.0000, 0.0000], [-3.2813, 5.6834, 0.0000], [0.0000, 0.0000, 8.0702]], "species": ["Pm", "Pm", "Pm", "Si", "Si", "P", "Pt", "Pt", "Pt", "Pt", "Pt", "Pt", "Pt", "Pt", "Pt"], "frac_coords": [[0.3333, 0.6667, 0.6771], [0.0000, 0.0000, 0.0000], [0.6667, 0.3333, 0.3229], [0.3333, 0.6667, 0.1948], [0.6667, 0.3333, 0.8052], [0.0000, 0.0000, 0.5000], [0.8555, 0.1445, 0.7055], [0.8555, 0.7111, 0.7055], [0.2889, 0.1445, 0.7055], [0.7111, 0.8555, 0.2945], [0.1445, 0.2889, 0.2945], [0.1445, 0.8555, 0.2945], [0.5000, 0.0000, 0.0000], [0.0000, 0.5000, 0.0000], [0.5000, 0.5000, 0.0000]], "spacegroup": "No. 164", "vol_a3_per_cell": 301, "e_tot_ry_per_atom": -0.473, "formation_energy_uncorrected_kcal_per_mol_atoms": -18.02}


Which formula does entry 4 have? Pm4PPtSe2